P | # BC2 | Alexandria | PBE | optimized geometry
data_BC2
_chemical_formula_sum 'B8 C16'
_cell_length_a 13.952
_cell_length_b 2.572
_cell_length_c 4.464
_cell_angle_alpha 90.00
_cell_angle_beta 107.77
_cell_angle_gamma 90.00
_space_group_name_H-M_alt 'C 1 m 1'
_space_group_IT_number 8
_space_group_name_Hall 'C -2y'
loop_
_atom_site_label
_atom_site_type_symbol
_atom_site_fract_x
_atom_site_fract_y
_atom_site_fract_z
_atom_site_occupancy
B1 B 0.000 0.000 0.000 1
B2 B 0.004 0.500 0.604 1
B3 B 0.126 0.000 0.183 1
B4 B 0.440 0.000 0.156 1
C1 C 0.127 0.500 0.683 1
C2 C 0.166 0.000 0.554 1
C3 C 0.171 0.500 0.036 1
C4 C 0.284 0.500 0.160 1
C5 C 0.285 0.000 0.662 1
C6 C 0.323 0.000 0.032 1
C7 C 0.325 0.500 0.531 1
C8 C 0.441 0.500 0.624 1
# - ρ (g/cm³) = 3.034
# - magnetic moment (Bohr magnetons per cell) = 0.0

***

Q | # BC2 | Alexandria | PBE | optimized geometry
data_BC2
_chemical_formula_sum 'B8 C16'
_cell_length_a 12.021
_cell_length_b 2.545
_cell_length_c 5.124
_cell_angle_alpha 90.00
_cell_angle_beta 102.66
_cell_angle_gamma 90.00
_space_group_name_H-M_alt 'C 1 m 1'
_space_group_IT_number 8
_space_group_name_Hall 'C -2y'
loop_
_atom_site_label
_atom_site_type_symbol
_atom_site_fract_x
_atom_site_fract_y
_atom_site_fract_z
_atom_site_occupancy
B1 B 0.000 0.000 0.000 1
B2 B 0.080 0.000 0.352 1
B3 B 0.316 0.000 0.210 1
B4 B 0.400 0.000 0.971 1
C1 C 0.087 0.000 0.815 1
C2 C 0.159 0.500 0.360 1
C3 C 0.162 0.500 0.854 1
C4 C 0.231 0.500 0.150 1
C5 C 0.242 0.500 0.647 1
C6 C 0.315 0.000 0.684 1
C7 C 0.411 0.000 0.497 1
C8 C 0.484 0.500 0.534 1
# - ρ (g/cm³) = 3.025
# - magnetic moment (Bohr magnetons per cell) = 0.0

***

Top of the stability list: P, leading by 2.8 kJ/mol of atoms.

***

P | # BC2 | Alexandria | PBE | optimized geometry
data_BC2
_chemical_formula_sum 'B8 C16'
_cell_length_a 8.655
_cell_length_b 2.529
_cell_length_c 7.849
_cell_angle_alpha 90.00
_cell_angle_beta 116.80
_cell_angle_gamma 90.00
_space_group_name_H-M_alt 'C 1 m 1'
_space_group_IT_number 8
_space_group_name_Hall 'C -2y'
loop_
_atom_site_label
_atom_site_type_symbol
_atom_site_fract_x
_atom_site_fract_y
_atom_site_fract_z
_atom_site_occupancy
B1 B 0.000 0.000 0.000 1
B2 B 0.018 0.500 0.373 1
B3 B 0.171 0.000 0.705 1
B4 B 0.351 0.500 0.549 1
C1 C 0.005 0.000 0.494 1
C2 C 0.005 0.500 0.864 1
C3 C 0.170 0.500 0.846 1
C4 C 0.173 0.500 0.309 1
C5 C 0.188 0.000 0.213 1
C6 C 0.331 0.000 0.151 1
C7 C 0.332 0.500 0.040 1
C8 C 0.345 0.000 0.679 1
# - ρ (g/cm³) = 3.018
# - magnetic moment (Bohr magnetons per cell) = 0.0

***

Q | # BC2 | Alexandria | PBE | optimized geometry
data_BC2
_chemical_formula_sum 'B8 C16'
_cell_length_a 8.677
_cell_length_b 2.591
_cell_length_c 7.643
_cell_angle_alpha 90.00
_cell_angle_beta 116.15
_cell_angle_gamma 90.00
_space_group_name_H-M_alt 'C 1 m 1'
_space_group_IT_number 8
_space_group_name_Hall 'C -2y'
loop_
_atom_site_label
_atom_site_type_symbol
_atom_site_fract_x
_atom_site_fract_y
_atom_site_fract_z
_atom_site_occupancy
B1 B 0.000 0.000 0.000 1
B2 B 0.021 0.500 0.402 1
B3 B 0.224 0.000 0.280 1
B4 B 0.355 0.500 0.567 1
C1 C 0.021 0.500 0.895 1
C2 C 0.029 0.000 0.546 1
C3 C 0.184 0.500 0.860 1
C4 C 0.186 0.500 0.359 1
C5 C 0.188 0.000 0.741 1
C6 C 0.347 0.000 0.176 1
C7 C 0.347 0.500 0.066 1
C8 C 0.354 0.000 0.713 1
# - ρ (g/cm³) = 2.999
# - magnetic moment (Bohr magnetons per cell) = 0.0

***

Top of the stability list: Q, leading by 1.5 kJ/mol of atoms.